The following is a PBE+U calculation of a relaxed structure of Ti5MnP6O24, from Alexandria.

Unit cell a=8.412 b=8.412 c=8.412 alpha=63.03 beta=63.03 gamma=63.03
Positions (direct):
Ti 0.000 0.000 0.000
Ti 0.139 0.139 0.139
Ti 0.279 0.279 0.279
Ti 0.498 0.498 0.498
Ti 0.639 0.639 0.639
Mn 0.787 0.787 0.787
P 0.097 0.678 0.389
P 0.186 0.594 0.887
P 0.389 0.097 0.678
P 0.594 0.887 0.186
P 0.678 0.389 0.097
P 0.887 0.186 0.594
O 0.042 0.209 0.393
O 0.043 0.617 0.813
O 0.084 0.880 0.238
O 0.139 0.754 0.958
O 0.154 0.528 0.302
O 0.209 0.393 0.042
O 0.238 0.084 0.880
O 0.254 0.636 0.462
O 0.302 0.154 0.528
O 0.388 0.580 0.737
O 0.393 0.042 0.209
O 0.462 0.254 0.636
O 0.528 0.302 0.154
O 0.534 0.899 0.684
O 0.580 0.737 0.388
O 0.617 0.813 0.043
O 0.636 0.462 0.254
O 0.684 0.534 0.899
O 0.737 0.388 0.580
O 0.754 0.958 0.139
O 0.813 0.043 0.617
O 0.880 0.238 0.084
O 0.899 0.684 0.534
O 0.958 0.139 0.754

## Properties
V   449.3 Å³ per cell
Electronic total energy   -286.14 eV per cell
Space group   R3 (146)
M_tot   7.0 μB/f.u.